! Dy2MgS4, single point on PBEsol structure, DFT meta-GGA SCAN; values from VASP
! SG = Pnma
! crystal system = orthorhombic
! energy = -614.8 eV/cell
! E above lowest polymorph = 63 meV/atom
! ΔE_f (raw) = -2.09 eV per atom
! total moment = 0.00 μB/f.u.
&SYSTEM
  ibrav = 0, nat = 28, ntyp = 3
/
ATOMIC_SPECIES
Dy 162.50 Dy.upf
Mg 24.30 Mg.upf
S 32.06 S.upf
CELL_PARAMETERS angstrom
-0.7613 -2.3707 -2.8754
-0.5774 -9.5331 8.0125
-12.8576 2.1500 1.6315
ATOMIC_POSITIONS angstrom
Dy -6.2290 -4.5202 1.6022
Dy -7.9673 -5.2336 5.1663
Dy -12.1235 0.2763 1.7241
Dy -2.0728 -10.0301 5.0444
Dy -10.9968 -3.5142 2.0351
Dy -3.1994 -6.2395 4.7334
Dy -4.0588 -1.2810 0.8728
Dy -10.1375 -8.4728 5.8957
Mg -1.0681 -4.1643 2.4581
Mg -13.1282 -5.5895 4.3104
Mg -7.7203 -1.6790 -0.3454
Mg -6.4760 -8.0748 7.1139
S -11.8353 -3.3681 4.6524
S -2.3610 -6.3857 2.1161
S -5.5095 -1.0443 -1.4540
S -8.6868 -8.7094 8.2225
S -8.7665 -4.9466 2.6255
S -5.4297 -4.8072 4.1430
S -1.7015 -0.6158 -0.2997
S -12.4948 -9.1380 7.0682
S -3.9086 -3.8706 0.4523
S -10.2877 -5.8832 6.3162
S -9.9275 -1.1286 2.3009
S -4.2687 -8.6252 4.4676
S -6.5518 -1.8367 1.9910
S -7.6444 -7.9171 4.7775
S -13.3732 -2.1443 1.5348
S -0.8231 -7.6095 5.2337



! Dy3Mg2TiS8, single point on PBEsol structure, DFT meta-GGA SCAN; values from VASP
! SG = R-3m
! crystal system = trigonal
! energy = -274.2 eV/cell
! ΔE_f (raw) = -1.98 eV per atom
! total moment = 1.00 μB/f.u.
&SYSTEM
  ibrav = 0, nat = 14, ntyp = 4
/
ATOMIC_SPECIES
Dy 162.50 Dy.upf
Mg 24.30 Mg.upf
Ti 47.87 Ti.upf
S 32.06 S.upf
CELL_PARAMETERS angstrom
7.6053 -0.0082 -0.0059
3.6857 6.6526 -0.0059
3.6857 2.1689 6.2891
ATOMIC_POSITIONS angstrom
Dy 3.6857 4.4107 3.1416
Dy 5.6455 1.0803 3.1416
Dy 5.6455 3.3222 -0.0059
Mg 1.8538 1.0909 0.7770
Mg 13.1228 7.7223 5.5004
Ti 7.4883 4.4066 3.1387
S 7.5299 2.3557 1.6779
S 9.2610 3.3745 4.5995
S 11.1669 6.5713 4.6805
S 9.2610 5.4498 1.6858
S 3.8098 2.2419 1.5968
S 5.7156 3.3634 4.5916
S 7.4468 6.4575 4.5995
S 5.7156 5.4388 1.6779



! DyMgTiS4, single point on PBEsol structure, DFT meta-GGA SCAN; values from VASP
! SG = Imma
! crystal system = orthorhombic
! energy = -240.1 eV/cell
! ΔE_f (raw) = -1.82 eV per atom
! total moment = 1.00 μB/f.u.
&SYSTEM
  ibrav = 0, nat = 14, ntyp = 4
/
ATOMIC_SPECIES
Dy 162.50 Dy.upf
Mg 24.30 Mg.upf
Ti 47.87 Ti.upf
S 32.06 S.upf
CELL_PARAMETERS angstrom
7.2836 0.0000 0.0000
3.6418 6.5877 0.0101
3.6418 2.0933 6.2463
ATOMIC_POSITIONS angstrom
Dy 0.0000 0.0000 0.0000
Dy 3.6418 4.3405 3.1282
Mg 7.2836 4.3326 0.7537
Mg 7.2836 4.3485 5.5027
Ti 5.4627 1.0467 3.1231
Ti 1.8209 1.0467 3.1231
S 10.9253 6.6413 4.5404
S 9.0902 3.0451 4.5634
S 5.4770 3.0451 4.5634
S 7.2836 6.6136 4.5204
S 9.0902 5.6359 1.6930
S 7.2836 2.0674 1.7360
S 3.6418 2.0397 1.7160
S 5.4770 5.6359 1.6930



! DyMg2Sc, single point on PBEsol structure, DFT meta-GGA SCAN; values from VASP
! SG = Fm-3m
! crystal system = cubic
! energy = -72.2 eV/cell
! ΔH_f (0 K) = -0.05 eV/atom
! total moment = 0.00 μB/f.u.
&SYSTEM
  ibrav = 0, nat = 4, ntyp = 3
/
ATOMIC_SPECIES
Sc 44.96 Sc.upf
Mg 24.30 Mg.upf
Dy 162.50 Dy.upf
CELL_PARAMETERS angstrom
5.1632 0.0000 0.0000
2.5816 4.4714 0.0000
2.5816 1.4905 4.2157
ATOMIC_POSITIONS angstrom
Sc 5.1632 2.9810 2.1079
Mg 2.5816 1.4905 1.0539
Mg 7.7448 4.4714 3.1618
Dy 0.0000 0.0000 0.0000



Number 1: ρ 5.09 Mg/m³. Number 2: ρ 4.38 Mg/m³. Number 3: ρ 4.02 Mg/m³. Number 4: ρ 4.37 Mg/m³.